SrTa2Te, optimized geometry, DFT GGA-PBE; raw formation energy = 0.127 eV/atom; calculated volume = 100.7 Å³/cell; space-group type = P4mm; ρ = 9.52 g/cm3; M_tot = 0.21 μB/atom; density of states at the Fermi level = 4.7 states/eV/f.u.; energy = -0.5148 Ry per atom
1.0
3.583 0.000 0.000
0.000 3.583 0.000
0.000 0.000 7.843
Sr Ta Te
1 2 1
Direct
0.000 0.000 0.000
0.000 0.000 0.470
0.500 0.500 0.313
0.500 0.500 0.685